Material: Ho5Er4Th2
Method: DFT, GGA-PBE
State: relaxed

Output
**Final energy**: -102.61 eV/cell
**Formation energy from the elements**: 451 kJ/mol of formula units
**Energy above the most stable polymorph in this dataset**: 371 meV/atom

Cell: 3.4694 7.5559 27.9368 Å, 90.00 90.00 90.00°
Last column: nearest neighbours and their distance in Å.
Space group Immm (No. 71)
Symmetry-distinct sites (fractional):
Ho  0.0000  0.0000  0.0000  4 Er 2.97, 4 Th 3.33
Ho  0.0000  0.2431  0.3040  1 Th 3.27, 4 Ho 3.47-3.48, 2 Er 3.63
Er  0.0000  0.1805  0.5000  1 Er 2.73, 2 Ho 2.97
Er  0.0000  0.5000  0.1029  6 Er 3.47-3.62, 4 Ho 3.63
Th  0.0000  0.5000  0.3983  4 Ho 3.27-3.33, 2 Th 3.47